## LiMg2Al (PBE)

Data for an optimized crystal structure of LiMg2Al.

Cell lengths 3.529, 3.529, 6.338 Å; angles 90.00, 90.00, 90.00 degrees
Fractional positions:
Li: 0.000 0.000 0.000
Mg: 0.500 0.500 0.250
Mg: 0.500 0.500 0.750
Al: 0.000 0.000 0.500

Total energy   -2.248 eV/atom
ΔH_f (0 K)   -0.1 eV per formula unit
Calculated volume   78.9 Å³ per cell